1.
Crystalline RbPaSeS at its relaxed geometry, computed with PBE.

a = 4.0835 Å, b = 4.0840 Å, c = 8.5425 Å
α = 90.03°, β = 103.82°, γ = 119.99°
Fractional coordinates of all 4 atoms:
Se: 0.1054 0.9507 0.0714
Pa: 0.2979 0.5468 0.8602
Rb: 0.9689 0.3827 0.3663
S: 0.5057 0.1506 0.6718

Raw total energy: -23.4 eV per cell
Symmetry: R3m
Raw formation energy: -1332.9 meV/atom


2.
Crystalline Na8Tl3Sb at its relaxed geometry, computed with PBE.

a = 9.2685 Å, b = 8.2628 Å, c = 7.7382 Å
α = 61.85°, β = 90.37°, γ = 124.32°
Fractional coordinates of all 12 atoms:
Na: 0.8368 0.5007 0.3210
Na: 0.9310 0.4452 0.8785
Na: 0.4314 0.0000 0.9422
Na: 0.2355 0.0000 0.3397
Sb: 0.9248 0.0000 0.1127
Tl: 0.0795 0.3225 0.2888
Tl: 0.7571 0.6775 0.6113
Na: 0.4858 0.5548 0.3237
Na: 0.1037 0.0000 0.7578
Tl: 0.6216 0.0000 0.3487
Na: 0.7567 0.0000 0.7541
Na: 0.3361 0.4993 0.8217

Raw total energy: -23.2 eV per cell
Symmetry: Cm
Raw formation energy: -115.3 meV/atom


3.
Crystalline KLa2Cd at its relaxed geometry, computed with PBE.

a = 13.0180 Å, b = 13.0180 Å, c = 13.0180 Å
α = 16.64°, β = 16.64°, γ = 16.64°
Fractional coordinates of all 4 atoms:
La: 0.9826 0.9826 0.9826
La: 0.5174 0.5174 0.5174
Cd: 0.2500 0.2500 0.2500
K: 0.7500 0.7500 0.7500

Raw total energy: -11.5 eV per cell
Symmetry: R-3m


4.
Crystalline Pm8Sm2Al at its relaxed geometry, computed with PBE.

a = 5.5612 Å, b = 7.6273 Å, c = 9.9116 Å
α = 112.63°, β = 106.29°, γ = 90.00°
Fractional coordinates of all 11 atoms:
Pm: 0.1788 0.1788 0.3576
Pm: 0.3680 0.1367 0.7359
Sm: 0.1925 0.6925 0.3849
Pm: 0.0000 0.2476 0.0000
Pm: 0.8212 0.8212 0.6424
Sm: 0.8075 0.3075 0.6151
Pm: 0.6320 0.8633 0.2641
Pm: 0.3680 0.5992 0.7360
Pm: 0.6320 0.4008 0.2640
Pm: 0.0000 0.7524 0.0000
Al: 0.5000 0.0000 0.0000

Raw total energy: -50.9 eV per cell
Symmetry: Immm


5.
Crystalline KAgCl3 at its relaxed geometry, computed with PBE.

a = 9.4677 Å, b = 9.4677 Å, c = 9.4677 Å
α = 60.00°, β = 60.00°, γ = 60.00°
Fractional coordinates of all 20 atoms:
Ag: 0.6250 0.6250 0.6250
Ag: 0.6250 0.6250 0.1250
Cl: 0.9563 0.9563 0.5437
K: 0.6250 0.1250 0.1250
Cl: 0.7063 0.2937 0.7063
Cl: 0.5437 0.5437 0.9563
Cl: 0.2937 0.7063 0.2937
Ag: 0.1250 0.6250 0.6250
Cl: 0.9563 0.5437 0.5437
K: 0.1250 0.6250 0.1250
Cl: 0.7063 0.2937 0.2937
Cl: 0.2937 0.7063 0.7063
K: 0.1250 0.1250 0.6250
Cl: 0.9563 0.5437 0.9563
Cl: 0.7063 0.7063 0.2937
Cl: 0.5437 0.9563 0.9563
K: 0.1250 0.1250 0.1250
Ag: 0.6250 0.1250 0.6250
Cl: 0.2937 0.2937 0.7063
Cl: 0.5437 0.9563 0.5437

Raw total energy: -56.5 eV per cell
Symmetry: Fd-3m
Raw formation energy: -926.9 meV/atom


6.
Crystalline Ac2H2Au3 at its relaxed geometry, computed with PBE.

a = 4.7752 Å, b = 4.7752 Å, c = 7.9160 Å
α = 89.94°, β = 107.55°, γ = 120.13°
Fractional coordinates of all 7 atoms:
Ac: 0.1837 0.5923 0.7760
Au: 0.3230 0.1612 0.4841
Au: 0.6770 0.8388 0.5159
Au: 0.0000 0.0000 0.0000
H: 0.4160 0.7102 0.1262
Ac: 0.8163 0.4077 0.2240
H: 0.5840 0.2898 0.8738

Raw total energy: -29.0 eV per cell
Symmetry: C2/m